Record 1
# TmMg2Sn | Alexandria | PBE-GGA | relaxed
data_TmMg2Sn
_space_group_name_H-M_alt 'F m -3 m'
_space_group_IT_number 225
_space_group_name_Hall '-F 4 2 3'
_cell_length_a 7.313
_cell_length_b 7.313
_cell_length_c 7.313
_cell_angle_alpha 90.00
_cell_angle_beta 90.00
_cell_angle_gamma 90.00
loop_
_atom_site_label
_atom_site_type_symbol
_atom_site_fract_x
_atom_site_fract_y
_atom_site_fract_z
Tm1 Tm 0.000 0.000 0.000
Mg1 Mg 0.250 0.250 0.250
Sn1 Sn 0.000 0.000 0.500
# Energy above the lowest structure with this stoichiometry   1.261 eV/f.u.
# Final energy   -47.78 eV/cell
# Energy of formation   -0.07 eV/atom

=====

Record 2
# Tm2Mg2Sn | Alexandria | PBE-GGA | relaxed
data_Tm2Mg2Sn
_space_group_name_H-M_alt 'I 4/m m m'
_space_group_IT_number 139
_space_group_name_Hall '-I 4 2'
_cell_length_a 3.904
_cell_length_b 3.904
_cell_length_c 18.243
_cell_angle_alpha 90.00
_cell_angle_beta 90.00
_cell_angle_gamma 90.00
loop_
_atom_site_label
_atom_site_type_symbol
_atom_site_fract_x
_atom_site_fract_y
_atom_site_fract_z
Tm1 Tm 0.000 0.000 0.095
Mg1 Mg 0.000 0.500 0.250
Sn1 Sn 0.000 0.000 0.500
# Final energy   -32.33 eV/cell
# Energy of formation   -0.01 eV/atom

=====

Record 3
# Tm2MgSn3 | Alexandria | PBE-GGA | relaxed
data_Tm2MgSn3
_space_group_name_H-M_alt 'C m c 21'
_space_group_IT_number 36
_cell_length_a 10.153
_cell_length_b 11.141
_cell_length_c 5.974
_cell_angle_alpha 90.00
_cell_angle_beta 90.00
_cell_angle_gamma 90.00
loop_
_space_group_symop_operation_xyz
'x,y,z'
'-x,-y,z+1/2'
'-x,y,z'
'x,-y,z+1/2'
'x+1/2,y+1/2,z'
'-x+1/2,-y+1/2,z+1/2'
'-x+1/2,y+1/2,z'
'x+1/2,-y+1/2,z+1/2'
loop_
_atom_site_label
_atom_site_type_symbol
_atom_site_fract_x
_atom_site_fract_y
_atom_site_fract_z
Tm1 Tm 0.174 0.178 0.000
Mg1 Mg 0.000 0.316 0.525
Sn1 Sn 0.000 0.421 0.021
Sn2 Sn 0.157 0.096 0.500
# Final energy   -94.78 eV/cell
# Energy of formation   -0.19 eV/atom

=====

Record 4
# Tm3MgSn3 | Alexandria | PBE-GGA | relaxed
data_Tm3MgSn3
_space_group_name_H-M_alt 'P 63/m'
_space_group_IT_number 176
_space_group_name_Hall '-P 6c'
_cell_length_a 9.1515
_cell_length_b 9.1515
_cell_length_c 6.0746
_cell_angle_alpha 90.00
_cell_angle_beta 90.00
_cell_angle_gamma 120.00
loop_
_atom_site_label
_atom_site_type_symbol
_atom_site_fract_x
_atom_site_fract_y
_atom_site_fract_z
Tm1 Tm 0.0366 0.6876 0.2500
Mg1 Mg 0.3333 0.6667 0.7500
Sn1 Sn 0.0296 0.6814 0.7500
# Final energy   -58.66 eV/cell
# Energy of formation   -0.33 eV/atom

=====

Record 5
# TmMgSn | Alexandria | PBE-GGA | relaxed
data_TmMgSn
_space_group_name_H-M_alt 'I 4/m m m'
_space_group_IT_number 139
_space_group_name_Hall '-I 4 2'
_cell_length_a 4.359
_cell_length_b 4.359
_cell_length_c 15.793
_cell_angle_alpha 90.00
_cell_angle_beta 90.00
_cell_angle_gamma 90.00
loop_
_atom_site_label
_atom_site_type_symbol
_atom_site_fract_x
_atom_site_fract_y
_atom_site_fract_z
Tm1 Tm 0.000 0.000 0.167
Mg1 Mg 0.000 0.500 0.000
Sn1 Sn 0.000 0.000 0.363
# Final energy   -46.65 eV/cell
# Energy of formation   -0.53 eV/atom

=====

Record 6
# TmMg7Sn4 | Alexandria | PBE-GGA | relaxed
data_TmMg7Sn4
_space_group_name_H-M_alt 'C 1 2/m 1'
_space_group_IT_number 12
_cell_length_a 12.449
_cell_length_b 5.709
_cell_length_c 10.614
_cell_angle_alpha 90.00
_cell_angle_beta 124.17
_cell_angle_gamma 90.00
loop_
_space_group_symop_operation_xyz
'x,y,z'
'-x,-y,-z'
'-x,y,-z'
'x,-y,z'
'x+1/2,y+1/2,z'
'-x+1/2,-y+1/2,-z'
'-x+1/2,y+1/2,-z'
'x+1/2,-y+1/2,z'
loop_
_atom_site_label
_atom_site_type_symbol
_atom_site_fract_x
_atom_site_fract_y
_atom_site_fract_z
Tm1 Tm 0.000 0.000 0.000
Mg1 Mg 0.000 0.500 0.000
Mg2 Mg 0.081 0.000 0.419
Mg3 Mg 0.186 0.500 0.902
Mg4 Mg 0.208 0.500 0.643
Sn1 Sn 0.100 0.500 0.318
Sn2 Sn 0.205 0.000 0.773
# Final energy   -62.30 eV/cell
# Energy of formation   0.04 eV/atom

=====

Record 7
# Tm5MgSn | Alexandria | PBE-GGA | relaxed
data_Tm5MgSn
_space_group_name_H-M_alt 'C 1 2/c 1'
_space_group_IT_number 15
_cell_length_a 8.393
_cell_length_b 8.853
_cell_length_c 11.242
_cell_angle_alpha 90.00
_cell_angle_beta 104.78
_cell_angle_gamma 90.00
loop_
_space_group_symop_operation_xyz
'x,y,z'
'-x,-y,-z'
'-x,y,-z+1/2'
'x,-y,z+1/2'
'x+1/2,y+1/2,z'
'-x+1/2,-y+1/2,-z'
'-x+1/2,y+1/2,-z+1/2'
'x+1/2,-y+1/2,z+1/2'
loop_
_atom_site_label
_atom_site_type_symbol
_atom_site_fract_x
_atom_site_fract_y
_atom_site_fract_z
Tm1 Tm 0.000 0.134 0.250
Tm2 Tm 0.116 0.359 0.532
Tm3 Tm 0.203 0.207 0.841
Mg1 Mg 0.000 0.000 0.000
Sn1 Sn 0.000 0.484 0.250
# Final energy   -113.45 eV/cell
# Energy of formation   -0.06 eV/atom

=====

Record 8
# TmMgZnSn | Alexandria | PBE-GGA | relaxed
data_TmMgZnSn
_space_group_name_H-M_alt 'P m m m'
_space_group_IT_number 47
_cell_length_a 4.256
_cell_length_b 4.482
_cell_length_c 4.575
_cell_angle_alpha 90.00
_cell_angle_beta 90.00
_cell_angle_gamma 90.00
loop_
_space_group_symop_operation_xyz
'x,y,z'
'-x,-y,-z'
'-x,-y,z'
'x,y,-z'
'x,-y,-z'
'-x,y,z'
'-x,y,-z'
'x,-y,z'
loop_
_atom_site_label
_atom_site_type_symbol
_atom_site_fract_x
_atom_site_fract_y
_atom_site_fract_z
Tm1 Tm 0.000 0.000 0.000
Mg1 Mg 0.000 0.500 0.500
Zn1 Zn 0.500 0.000 0.500
Sn1 Sn 0.500 0.500 0.000
# Energy above the lowest structure with this stoichiometry   0.000 eV/f.u.
# Final energy   -12.91 eV/cell
# Energy of formation   -0.39 eV/atom

=====

Q: energy of formation of number 3 (Tm2MgSn3)?
A: -0.19 eV/atom

=====

Q: Which value of energy of formation does entry 5 give?
A: -0.53 eV/atom

=====

What did the third record say?
# Tm2MgSn3 | Alexandria | PBE-GGA | relaxed
data_Tm2MgSn3
_space_group_name_H-M_alt 'C m c 21'
_space_group_IT_number 36
_cell_length_a 10.153
_cell_length_b 11.141
_cell_length_c 5.974
_cell_angle_alpha 90.00
_cell_angle_beta 90.00
_cell_angle_gamma 90.00
loop_
_space_group_symop_operation_xyz
'x,y,z'
'-x,-y,z+1/2'
'-x,y,z'
'x,-y,z+1/2'
'x+1/2,y+1/2,z'
'-x+1/2,-y+1/2,z+1/2'
'-x+1/2,y+1/2,z'
'x+1/2,-y+1/2,z+1/2'
loop_
_atom_site_label
_atom_site_type_symbol
_atom_site_fract_x
_atom_site_fract_y
_atom_site_fract_z
Tm1 Tm 0.174 0.178 0.000
Mg1 Mg 0.000 0.316 0.525
Sn1 Sn 0.000 0.421 0.021
Sn2 Sn 0.157 0.096 0.500
# Final energy   -94.78 eV/cell
# Energy of formation   -0.19 eV/atom

=====

Q: The highest final energy belongs to which entry?
A: TmMgZnSn